No. 1
NbPCO2: relaxed, PBEsol.

Lattice parameters (Å, degrees): 3.680 3.680 3.723 90.00 90.00 90.00
Atoms (fractional coordinates):
P 0.000 0.000 0.500
Nb 0.500 0.500 0.500
C 0.000 0.000 0.000
O 0.000 0.500 0.000
O 0.500 0.000 0.000

Calculated total energy, eV per atom: -6.934
Total magnetic moment, μB per formula unit: 0.0
DOS at the Fermi energy, states/eV/cell: 2.77
V, Å³/atom: 10.1
Formation energy (no corrections), kJ per mole of atoms: 40

No. 2
NbSbC2O: relaxed, PBEsol.

Lattice parameters (Å, degrees): 3.950 3.950 4.061 90.00 90.00 90.00
Atoms (fractional coordinates):
Sb 0.000 0.000 0.500
Nb 0.500 0.500 0.500
C 0.000 0.500 0.000
C 0.500 0.000 0.000
O 0.000 0.000 0.000

Calculated total energy, eV per atom: -6.168
Total magnetic moment, μB per formula unit: 0.0
DOS at the Fermi energy, states/eV/cell: 2.40
V, Å³/atom: 12.7
Formation energy (no corrections), kJ per mole of atoms: 175

No. 3
TiNbC2O: relaxed, PBEsol.

Lattice parameters (Å, degrees): 3.854 3.854 5.394 90.00 90.00 90.00
Atoms (fractional coordinates):
Nb 0.000 0.000 0.000
C 0.000 0.500 0.000
C 0.500 0.000 0.000
O 0.500 0.500 0.500
Ti 0.000 0.000 0.500

Calculated total energy, eV per atom: -7.010
Total magnetic moment, μB per formula unit: 0.0
DOS at the Fermi energy, states/eV/cell: 3.51
V, Å³/atom: 16.0
Formation energy (no corrections), kJ per mole of atoms: 167

Look up the DOS at the Fermi energy of the second one. 2.40 states/eV/cell

Which value of DOS at the Fermi energy does entry 2 give? 2.40 states/eV/cell

Which of these has the highest V? TiNbC2O